Computed, not measured: crystalline PdPb2Au2 at its relaxed geometry at the PBE level of DFT.

The space group is I4/mmm (No. 139) and the conventional cell measures 3.775, 3.775 and 16.683 Å, with angles of 90.00, 90.00 and 90.00 degrees. The inequivalent atoms are Pd at (0.000, 0.000, 0.000), Pb at (0.000, 0.000, 0.404) and Au at (0.000, 0.500, 0.250).

The electronic total energy is -3.81 eV/atom. For the volume, the calculation gives 23.78 Å³/atom. The total magnetic moment comes out at 0.000 μB/cell.

=====

Computed, not measured: crystalline Pd3Pb5Au at its relaxed geometry at the PBE level of DFT.

The space group is C2/m (No. 12) and the conventional cell measures 13.231, 9.924 and 9.597 Å, with angles of 90.00, 131.99 and 90.00 degrees. The inequivalent atoms are Pd at (0.000, 0.000, 0.000), Pd at (0.000, 0.000, 0.500), Pd at (0.192, 0.500, 0.208), Pd at (0.205, 0.500, 0.732), Pb at (0.000, 0.280, 0.000), Pb at (0.011, 0.500, 0.280), Pb at (0.151, 0.000, 0.890), Pb at (0.164, 0.241, 0.588) and Au at (0.156, 0.000, 0.390).

The electronic total energy is -4.20 eV/atom. For the volume, the calculation gives 26.01 Å³/atom. The total magnetic moment comes out at 0.000 μB/cell.

=====

Computed, not measured: crystalline Pd5Pb2Au at its relaxed geometry at the PBE level of DFT.

The space group is Pnma (No. 62) and the conventional cell measures 14.143, 4.637 and 9.368 Å, with angles of 90.00, 90.00 and 90.00 degrees. The inequivalent atoms are Pd at (0.056, 0.250, 0.157), Pd at (0.059, 0.250, 0.829), Pd at (0.216, 0.250, 0.333), Pd at (0.230, 0.250, 0.682), Pd at (0.233, 0.250, 0.007), Pb at (0.092, 0.750, 0.363), Pb at (0.117, 0.750, 0.995) and Au at (0.107, 0.750, 0.670).

The electronic total energy is -4.71 eV/atom. For the volume, the calculation gives 19.20 Å³/atom. The total magnetic moment comes out at 0.000 μB/cell.

=====

Computed, not measured: crystalline Pd6Pb2Au at its relaxed geometry at the PBE level of DFT.

The space group is P-3m1 (No. 164) and the conventional cell measures 6.4084, 6.4084 and 4.8807 Å, with angles of 90.00, 90.00 and 120.00 degrees. The inequivalent atoms are Pd at (0.1912, 0.3824, 0.3167), Pb at (0.3333, 0.6667, 0.8147) and Au at (0.0000, 0.0000, 0.0000).

The electronic total energy is -4.62 eV/atom. For the volume, the calculation gives 19.29 Å³/atom. The total magnetic moment comes out at 0.000 μB/cell.

=====

Computed, not measured: crystalline Pd12Pb5Au2 at its relaxed geometry at the PBE level of DFT.

The space group is C2/m (No. 12) and the conventional cell measures 15.583, 5.582 and 9.230 Å, with angles of 90.00, 107.47 and 90.00 degrees. The inequivalent atoms are Pd at (0.013, 0.000, 0.359), Pd at (0.098, 0.500, 0.292), Pd at (0.156, 0.247, 0.606), Pd at (0.194, 0.261, 0.116), Pb at (0.000, 0.500, 0.500), Pb at (0.142, 0.000, 0.862), Pb at (0.186, 0.000, 0.362) and Au at (0.000, 0.254, 0.000).

The electronic total energy is -4.67 eV/atom. For the volume, the calculation gives 20.16 Å³/atom. The total magnetic moment comes out at 0.000 μB/cell.

=====

Computed, not measured: crystalline PdPb2Au at its relaxed geometry at the PBE level of DFT.

The space group is Fm-3m (No. 225) and the conventional cell measures 7.150, 7.150 and 7.150 Å, with angles of 90.00, 90.00 and 90.00 degrees. The inequivalent atoms are Pd at (0.000, 0.000, 0.000), Pb at (0.250, 0.250, 0.250) and Au at (0.000, 0.000, 0.500).

The electronic total energy is -4.05 eV/atom. For the volume, the calculation gives 22.85 Å³/atom. The total magnetic moment comes out at 0.000 μB/cell.

=====

Computed, not measured: crystalline Pd2PbAu2 at its relaxed geometry at the PBE level of DFT.

The space group is I4/mmm (No. 139) and the conventional cell measures 3.930, 3.930 and 13.329 Å, with angles of 90.00, 90.00 and 90.00 degrees. The inequivalent atoms are Pd at (0.000, 0.500, 0.250), Pb at (0.000, 0.000, 0.000) and Au at (0.000, 0.000, 0.396).

The electronic total energy is -4.10 eV/atom. For the volume, the calculation gives 20.58 Å³/atom. The total magnetic moment comes out at 0.000 μB/cell.

=====

Computed, not measured: crystalline Pd7PbAu3 at its relaxed geometry at the PBE level of DFT.

The space group is C2/m (No. 12) and the conventional cell measures 9.203, 9.479 and 5.190 Å, with angles of 90.00, 115.21 and 90.00 degrees. The inequivalent atoms are Pd at (0.000, 0.000, 0.000), Pd at (0.172, 0.257, 0.673), Pd at (0.210, 0.500, 0.048), Pb at (0.000, 0.000, 0.500), Au at (0.000, 0.285, 0.000) and Au at (0.000, 0.500, 0.500).

The electronic total energy is -4.44 eV/atom. For the volume, the calculation gives 18.62 Å³/atom. The total magnetic moment comes out at 0.000 μB/cell.

=====

Question: Which value of total magnetic moment does entry 7 give?
Answer: 0.000 μB/cell